[1]
# BeSbP2

A geometry-optimized BeSbP2 structure (PBE, Alexandria via LeMat-Bulk).

a b c (Å): 5.974 5.974 5.974
angles (deg): 145.30 145.30 49.89
Positions (direct):
Sb  0.250  0.750  0.500
Be  0.750  0.250  0.500
P  0.000  0.000  0.000
P  0.500  0.500  0.000

Excess energy over the best structure of this formula in the dataset ... 628.2 meV/atom
E_form (uncorrected) ... 664 meV per atom

[2]
# BeSb2P

A geometry-optimized BeSb2P structure (PBE, Alexandria via LeMat-Bulk).

a b c (Å): 3.168 3.168 8.556
angles (deg): 90.00 90.00 106.07
Positions (direct):
Sb  0.000  0.000  0.979
Sb  0.500  0.500  0.310
Be  0.000  0.000  0.554
P  0.500  0.500  0.657

Excess energy over the best structure of this formula in the dataset ... 194.8 meV/atom
E_form (uncorrected) ... 361 meV per atom